{
  "formula": "Hg2OsCl",
  "functional": "PBE-GGA",
  "state": "optimized geometry",
  "sg": "R-3m",
  "magnetic_moment_mub_per_cell": 1.2,
  "dos_at_fermi_per_ev_cell": 3.27,
  "raw_formation_energy_ev_per_atom": 0.65,
  "final_energy_ev_per_atom": -2.766,
  "lattice_angstrom": [[9.011, -0.007, -0.004], [8.429, 3.186, -0.004], [8.429, 1.536, 2.791]],
  "species": ["Cl", "Hg", "Hg", "Os"],
  "fractional_positions": [[0.750, 0.750, 0.750], [0.997, 0.997, 0.997], [0.503, 0.503, 0.503], [0.250, 0.250, 0.250]]
}